{"formula": "Na4HoS4", "functional": "PBE", "state": "relaxed", "dos_ef_per_ev_atom": 1.0222, "total_energy_ev_per_atom": -4.010, "mass_density_g_cm3": 2.32, "lattice": [[-4.4765, 0.6103, -5.1528], [-4.5949, -3.6293, 3.5605], [2.5047, 6.4611, 3.1777]], "species": ["S", "S", "S", "Ho", "Na", "Na", "S", "Na", "Na"], "fractional_positions": [[0.3425, 0.9003, 0.2420], [0.6575, 0.6575, 0.7569], [0.9003, 0.3425, 0.2420], [0.0005, 0.0005, 0.9999], [0.9992, 0.5003, 0.0001], [0.5003, 0.9992, 0.0001], [0.1007, 0.1007, 0.7589], [0.7007, 0.7007, 0.4022], [0.2980, 0.2980, 0.5977]]}